(1)
SrLiIr2, relaxed, DFT GGA-PBE; size of the total moment = 0.00 Bohr magnetons per cell; V = 17.03 A^3/atom; space-group type = Cmmm; DFT formation energy = 362 meV per atom
1.0
1.573 -2.387 0.000
1.573 2.387 0.000
0.000 0.000 9.071
Sr Li Ir
1 1 2
Cartesian
0.000 0.000 0.000
0.000 0.000 4.535
1.573 0.000 2.464
1.573 0.000 6.607

---

(2)
Ac3Tb2Dy2, relaxed, DFT GGA-PBE; size of the total moment = 0.00 Bohr magnetons per cell; V = 37.11 A^3/atom; space-group type = Cmmm; DFT formation energy = 75 meV per atom
1.0
2.795 -12.500 0.000
2.795 12.500 0.000
0.000 0.000 3.717
Ac Tb Dy
3 2 2
Cartesian
0.000 0.000 0.000
2.795 8.684 0.000
2.795 -8.684 0.000
2.795 1.813 1.859
2.795 -1.813 1.859
2.795 5.362 1.859
2.795 -5.362 1.859